The following is a DFT calculation (PBE) of a relaxed K2RuBr5 crystal.

Lattice parameters (Å, degrees): 7.2490 9.3934 14.9701 90.00 90.00 90.00
With the nearest neighbours (Å) after each atom.
Fractional positions:
K 0.7500 0.5528 0.3086  8 Br 3.39-3.63
K 0.2500 0.4472 0.6914  8 Br 3.39-3.63
K 0.2500 0.9472 0.8086  8 Br 3.39-3.63
K 0.7500 0.0528 0.1914  8 Br 3.39-3.63
K 0.7500 0.8128 0.5872  9 Br 3.37-3.69
K 0.2500 0.1872 0.4128  9 Br 3.37-3.69
K 0.2500 0.6872 0.0872  9 Br 3.37-3.69
K 0.7500 0.3128 0.9128  9 Br 3.37-3.69
Ru 0.7500 0.8189 0.9463  6 Br 2.47-2.61
Ru 0.2500 0.1811 0.0537  6 Br 2.47-2.61
Ru 0.2500 0.6811 0.4463  6 Br 2.47-2.61
Ru 0.7500 0.3189 0.5537  6 Br 2.47-2.61
Br 0.7500 0.7117 0.1049  1 Ru 2.58
Br 0.2500 0.2883 0.8951  1 Ru 2.58
Br 0.2500 0.7883 0.6049  1 Ru 2.58
Br 0.7500 0.2117 0.3951  1 Ru 2.58
Br 0.5076 0.6526 0.8965  1 Ru 2.47
Br 0.4924 0.3474 0.1035  1 Ru 2.47
Br 0.4924 0.8474 0.3965  1 Ru 2.47
Br 0.0076 0.3474 0.1035  1 Ru 2.47
Br 0.5076 0.1526 0.6035  1 Ru 2.47
Br 0.9924 0.6526 0.8965  1 Ru 2.47
Br 0.9924 0.1526 0.6035  1 Ru 2.47
Br 0.0076 0.8474 0.3965  1 Ru 2.47
Br 0.5000 0.0000 0.0000  2 Ru 2.61
Br 0.5000 0.5000 0.5000  2 Ru 2.61
Br 0.0000 0.0000 0.0000  2 Ru 2.61
Br 0.0000 0.5000 0.5000  2 Ru 2.61
Br 0.7500 0.9431 0.7969  1 Ru 2.52
Br 0.2500 0.0569 0.2031  1 Ru 2.52
Br 0.2500 0.5569 0.2969  1 Ru 2.52
Br 0.7500 0.4431 0.7031  1 Ru 2.52

Output
Formation energy (no corrections) ... -0.935 eV per atom
Total DFT energy (no corrections) ... -109.27 eV per cell
Calculated volume ... 254.84 Å³/f.u.
Space-group type ... Pnma, No. 62
DOS at the Fermi energy ... 0.94 states/eV per atom